An optimized crystal structure of La12Nd6Zr. Source: the Alexandria database, functional PBE.

Cell lengths 16.0323, 16.0323, 9.0469 Å; angles 90.00, 90.00, 120.00 degrees
Space group R-3 (No. 148, hexagonal axes)
Symmetry-distinct sites (fractional):
La  0.0349  0.2805  0.3391 (multiplicity 18)
La  0.0781  0.5641  0.6653 (multiplicity 18)
Nd  0.0171  0.1364  0.6754 (multiplicity 18)
Zr  0.0000  0.0000  0.0000 (multiplicity 3)

## Properties
E_tot = -286.5 eV/cell



An optimized crystal structure of LaNd14Zr. Source: the Alexandria database, functional PBE.

Cell lengths 7.304, 7.304, 10.318 Å; angles 90.00, 90.00, 90.00 degrees
Space group P4/mmm (No. 123)
Symmetry-distinct sites (fractional):
La  0.000  0.000  0.000 (multiplicity 1)
Nd  0.000  0.000  0.500 (multiplicity 1)
Nd  0.000  0.500  0.000 (multiplicity 2)
Nd  0.000  0.500  0.500 (multiplicity 2)
Nd  0.257  0.257  0.244 (multiplicity 8)
Nd  0.500  0.500  0.500 (multiplicity 1)
Zr  0.500  0.500  0.000 (multiplicity 1)

## Properties
E_tot = -79.5 eV/cell



An optimized crystal structure of La5Ni. Source: the Alexandria database, functional PBE.

Cell lengths 9.209, 9.209, 9.209 Å; angles 90.00, 90.00, 90.00 degrees
Space group F-43m (No. 216)
Symmetry-distinct sites (fractional):
La  0.000  0.000  0.000 (multiplicity 4)
La  0.123  0.123  0.623 (multiplicity 16)
Ni  0.250  0.250  0.250 (multiplicity 4)

## Properties
distance to the lowest polymorph of the same formula = 0.612 eV per atom
E_tot = -108.6 eV/cell



An optimized crystal structure of La3Ni. Source: the Alexandria database, functional PBE.

Cell lengths 3.8953, 3.8953, 29.1955 Å; angles 90.00, 90.00, 120.00 degrees
Space group R-3m (No. 166, hexagonal axes)
Symmetry-distinct sites (fractional):
La  0.0000  0.0000  0.0000 (multiplicity 3)
La  0.0000  0.0000  0.2258 (multiplicity 6)
Ni  0.0000  0.0000  0.5000 (multiplicity 3)

## Properties
E_tot = -62.8 eV/cell



An optimized crystal structure of La3Ni. Source: the Alexandria database, functional PBE.

Cell lengths 3.698, 10.717, 6.108 Å; angles 90.00, 90.00, 90.00 degrees
Space group Imm2 (No. 44)
Symmetry-distinct sites (fractional):
La  0.000  0.000  0.000 (multiplicity 2)
La  0.000  0.189  0.479 (multiplicity 4)
Ni  0.000  0.500  0.146 (multiplicity 2)

## Properties
E_tot = -42.0 eV/cell



An optimized crystal structure of La4Ni3. Source: the Alexandria database, functional PBE.

Cell lengths 5.4180, 5.4180, 6.2310 Å; angles 90.00, 90.00, 120.00 degrees
Space group P6/mmm (No. 191)
Symmetry-distinct sites (fractional):
La  0.0000  0.0000  0.2319 (multiplicity 2)
La  0.3333  0.6667  0.5000 (multiplicity 2)
Ni  0.0000  0.5000  0.0000 (multiplicity 3)

## Properties
distance to the lowest polymorph of the same formula = 0.142 eV per atom
E_tot = -36.7 eV/cell



no.,energy relative to the elements (eV/atom)
1,0.04
2,0.05
3,0.55
4,-0.09
5,-0.10
6,0.04